Entry from the Alexandria database: an optimized crystal structure of Pm3Cd3Ag2 (PBE-GGA).

Lattice parameters (Å, degrees): 4.5680 4.9924 9.4873 105.17 103.93 90.00
Closest atoms and distances in Å follow each position.
Atoms (fractional coordinates):
Pm 0.8609 0.3588 0.7218  4 Ag 3.10-3.11, 6 Cd 3.36-3.39
Pm 0.1391 0.6412 0.2782  4 Ag 3.10-3.11, 6 Cd 3.36-3.39
Pm 0.0000 0.0000 0.0000  8 Cd 3.38, 4 Pm 3.50-3.52
Cd 0.3596 0.8582 0.7192  4 Ag 2.92-3.25
Cd 0.5000 0.5000 0.0000  8 Pm 3.36-3.38, 4 Cd 3.52-3.53
Cd 0.6404 0.1418 0.2808  4 Ag 2.92-3.25
Ag 0.7569 0.7543 0.5139  4 Cd 2.92-3.25, 4 Pm 3.10-3.11
Ag 0.2431 0.2457 0.4861  4 Cd 2.92-3.25, 4 Pm 3.10-3.11

Values from the calculation:
ΔE to the lowest computed polymorph ... 21 meV/atom
Space group ... No. 12
DFT formation energy ... -0.2583 eV/atom
Total energy ... -24.8 eV/cell